Record 1
This record from Alexandria via LeMat-Bulk describes a relaxed SrMoAsH3O8 crystal. The functional is GGA-PBEsol.

## Properties
Energy   -377.7 eV per cell
DOS at the Fermi energy   0.000 states/eV per atom
Mass density   4.01 g cm⁻³
Crystal system   monoclinic

Cell lengths 9.0809, 9.0809, 9.7498 Å; angles 66.32, 66.32, 65.92 degrees
Closest atoms and distances in Å follow each position.
Positions (direct):
O 0.9852 0.7247 0.4459  1 Mo 1.85, 1 As 1.93
O 0.8401 0.9593 0.2128  1 Mo 1.72
O 0.7486 0.1589 0.6358  1 H 1.72, 1 Mo 1.74
O 0.4376 0.3649 0.7359  1 H 1.00
O 0.5952 0.2022 0.4115  2 H 0.99-1.01
O 0.0148 0.2753 0.5541  1 Mo 1.85, 1 As 1.93
O 0.3056 0.1471 0.3545  1 As 1.76
O 0.5186 0.9500 0.2073  1 As 1.73
O 0.1599 0.0407 0.7872  1 Mo 1.72
O 0.6351 0.5624 0.7641  1 H 1.00
O 0.2753 0.0148 0.0541  1 Mo 1.85, 1 As 1.93
O 0.3443 0.2554 0.0414  1 As 1.75, 1 H 1.79
O 0.6944 0.8529 0.6455  1 As 1.76
O 0.0407 0.1599 0.2872  1 Mo 1.72
O 0.9593 0.8401 0.7128  1 Mo 1.72
O 0.5624 0.6351 0.2641  1 H 1.00
O 0.7446 0.6557 0.4586  1 As 1.75, 1 H 1.79
O 0.8411 0.2514 0.8642  1 H 1.72, 1 Mo 1.74
O 0.2554 0.3443 0.5414  1 As 1.75, 1 H 1.79
O 0.4814 0.0500 0.7927  1 As 1.73
O 0.9500 0.5186 0.7073  1 As 1.73
O 0.6557 0.7446 0.9586  1 As 1.75, 1 H 1.79
O 0.4048 0.7978 0.5885  2 H 0.99-1.01
O 0.3649 0.4376 0.2359  1 H 1.00
O 0.1589 0.7486 0.1358  1 H 1.72, 1 Mo 1.74
O 0.1471 0.3056 0.8545  1 As 1.76
O 0.0500 0.4814 0.2927  1 As 1.73
O 0.2514 0.8411 0.3642  1 H 1.72, 1 Mo 1.74
O 0.7978 0.4048 0.0885  2 H 0.99-1.01
O 0.8529 0.6944 0.1455  1 As 1.76
O 0.7247 0.9852 0.9459  1 Mo 1.85, 1 As 1.93
O 0.2022 0.5952 0.9115  2 H 0.99-1.01
As 0.7999 0.6546 0.6114  5 O 1.73-1.93
As 0.6546 0.7999 0.1114  5 O 1.73-1.93
As 0.2001 0.3454 0.3886  5 O 1.73-1.93
As 0.3454 0.2001 0.8886  5 O 1.73-1.93
H 0.7495 0.5239 0.0292  1 O 1.01
H 0.2996 0.5560 0.1920  1 O 1.00
H 0.6325 0.0879 0.4795  1 O 0.99
H 0.5239 0.7495 0.5292  1 O 1.01
H 0.3675 0.9121 0.5205  1 O 0.99
H 0.9121 0.3675 0.0205  1 O 0.99
H 0.2505 0.4761 0.9708  1 O 1.01
H 0.7004 0.4440 0.8080  1 O 1.00
H 0.5560 0.2996 0.6920  1 O 1.00
H 0.4440 0.7004 0.3080  1 O 1.00
H 0.4761 0.2505 0.4708  1 O 1.01
H 0.0879 0.6325 0.9795  1 O 0.99
Sr 0.3897 0.7952 0.8696  6 O 2.47-2.69
Sr 0.2048 0.6103 0.6304  6 O 2.47-2.69
Sr 0.6103 0.2048 0.1304  6 O 2.47-2.69
Sr 0.7952 0.3897 0.3696  6 O 2.47-2.69
Mo 0.7512 0.9564 0.7589  3 O 1.72-1.85
Mo 0.0436 0.2488 0.7411  3 O 1.72-1.85
Mo 0.9564 0.7512 0.2589  3 O 1.72-1.85
Mo 0.2488 0.0436 0.2411  3 O 1.72-1.85



Record 2
This record from Alexandria via LeMat-Bulk describes a relaxed NaAs3H2O9 crystal. The functional is GGA-PBEsol.

## Properties
Energy   -178.6 eV per cell
DOS at the Fermi energy   0.000 states/eV per atom
Mass density   3.73 g cm⁻³
Crystal system   triclinic

Cell lengths 7.2454, 7.5577, 7.9368 Å; angles 110.51, 107.52, 106.18 degrees
Closest atoms and distances in Å follow each position.
Positions (direct):
As 0.3641 0.3458 0.1645  4 O 1.65-1.76
As 0.6359 0.6542 0.8355  4 O 1.65-1.76
As 0.1527 0.4324 0.4754  6 O 1.83-1.86
As 0.1898 0.8379 0.4564  4 O 1.67-1.75
As 0.8473 0.5676 0.5246  6 O 1.83-1.86
As 0.8102 0.1621 0.5436  4 O 1.67-1.75
Na 0.3178 0.8168 0.0444  6 O 2.33-2.56
Na 0.6822 0.1832 0.9556  6 O 2.33-2.56
O 0.0896 0.5633 0.6820  2 As 1.84-1.86
O 0.8194 0.7241 0.7422  2 As 1.75-1.83
O 0.1806 0.2759 0.2578  2 As 1.75-1.83
O 0.2708 0.4614 0.0266  1 H 1.08
O 0.3963 0.1379 0.0455  1 As 1.65
O 0.6771 0.3124 0.4940  2 As 1.75-1.86
O 0.9973 0.8255 0.5474  2 As 1.75-1.86
O 0.0027 0.1745 0.4526  2 As 1.75-1.86
O 0.6037 0.8621 0.9545  1 As 1.65
O 0.8975 0.2047 0.7804  1 H 1.40
O 0.3953 0.4356 0.6455  1 H 1.64, 1 As 1.76
O 0.6047 0.5644 0.3545  1 H 1.64, 1 As 1.76
O 0.3990 0.0821 0.6278  1 H 1.01
O 0.1025 0.7953 0.2196  1 H 1.40
O 0.6010 0.9179 0.3722  1 H 1.01
O 0.3229 0.6876 0.5060  2 As 1.75-1.86
O 0.7292 0.5386 0.9734  1 H 1.08
O 0.9104 0.4367 0.3180  2 As 1.84-1.86
H 0.6267 0.7972 0.3851  1 O 1.01
H 0.8904 0.6483 0.0871  1 O 1.08
H 0.3733 0.2028 0.6149  1 O 1.01
H 0.1096 0.3517 0.9129  1 O 1.08



Record 3
This record from Alexandria via LeMat-Bulk describes a relaxed NaAsHOs2 crystal. The functional is GGA-PBEsol.

## Properties
Energy   -17.4 eV per cell
DOS at the Fermi energy   0.930 states/eV per atom
Mass density   8.33 g cm⁻³
Crystal system   tetragonal

Cell lengths 4.5619, 4.5619, 4.5937 Å; angles 90.00, 90.00, 90.00 degrees
Closest atoms and distances in Å follow each position.
Positions (direct):
H 0.5000 0.5000 0.5000  4 As 3.23, 8 Os 3.24
Os 0.5000 0.0000 0.0000  2 Na 2.28
Os 0.0000 0.5000 0.0000  2 Na 2.28
As 0.0000 0.0000 0.5000  2 Na 2.30
Na 0.0000 0.0000 0.0000  4 Os 2.28, 2 As 2.30